[1]
VTcSnHg2, optimized geometry, DFT PBE-GGA; E_form = 1.840 eV/atom; space-group type = P4/mmm, No. 123; density = 7.960 g/cm3
1.0
-0.978 -4.465 2.597
4.736 -0.022 1.746
-1.534 2.775 4.194
Tc Hg Sn V
1 2 1 1
Direct
0.000 0.500 0.000 Tc
0.500 0.000 0.000 Hg
0.000 0.000 0.500 Hg
0.000 0.000 0.000 Sn
0.500 0.500 0.500 V

[2]
SnHgTe3, optimized geometry, DFT PBE-GGA; space-group type = Pnma, No. 62; offset from the most stable computed form = 0.000 eV/atom; formation energy (no corrections) = -0.045 eV per atom; density = 7.249 g/cm3
1.0
-3.906 -1.793 -1.264
5.348 -6.379 -7.480
1.368 -9.207 8.830
Te Sn Hg
12 4 4
Direct
0.250 0.847 0.922 Te
0.750 0.153 0.078 Te
0.250 0.188 0.762 Te
0.250 0.033 0.369 Te
0.250 0.347 0.578 Te
0.750 0.467 0.869 Te
0.250 0.533 0.131 Te
0.750 0.312 0.262 Te
0.750 0.653 0.422 Te
0.750 0.812 0.238 Te
0.250 0.688 0.738 Te
0.750 0.967 0.631 Te
0.750 0.670 0.033 Sn
0.250 0.330 0.967 Sn
0.750 0.170 0.467 Sn
0.250 0.830 0.533 Sn
0.250 0.472 0.363 Hg
0.750 0.028 0.863 Hg
0.250 0.972 0.137 Hg
0.750 0.528 0.637 Hg